1.
## BaNb2I2 (PBE)

Data for a relaxed BaNb2I2 crystal.

Its polymorph energy (0 for the lowest one) is 402.6 meV per atom. As for the electronic total energy: -45.11 eV for the cell shown. The space group is P4/mbm (127).

POSCAR file:
```
BaNb2I2
1.0
8.773 0.000 0.000
0.000 8.773 0.000
0.000 0.000 3.594
Ba Nb I
2 4 4
Cartesian
0.000 0.000 0.000
4.386 4.386 0.000
0.838 3.549 0.000
3.549 7.935 0.000
5.224 0.838 0.000
7.935 5.224 0.000
1.592 5.978 1.797
2.795 1.592 1.797
5.978 7.181 1.797
7.181 2.795 1.797
```

2.
## CdTe2O (PBE)

Data for a relaxed CdTe2O crystal.

Its polymorph energy (0 for the lowest one) is 0.0 meV per atom. As for the electronic total energy: -12.70 eV for the cell shown. The space group is R-3m (166).

POSCAR file:
```
CdTe2O
1.0
2.302 1.329 6.878
-2.302 1.329 6.878
0.000 -2.658 6.878
Cd Te O
1 2 1
Cartesian
0.000 0.000 0.000
0.000 0.000 8.309
0.000 0.000 12.324
0.000 0.000 10.316
```

3.
## LiCa8Tl2 (PBE)

Data for a relaxed LiCa8Tl2 crystal.

Its polymorph energy (0 for the lowest one) is 36.6 meV per atom. As for the electronic total energy: -24.27 eV for the cell shown. The space group is Immm (71).

POSCAR file:
```
LiCa8Tl2
1.0
-2.735 4.668 7.418
2.735 -4.668 7.418
2.735 4.668 -7.418
Li Ca Tl
1 8 2
Cartesian
0.000 0.000 0.000
2.735 -1.963 5.054
2.735 0.000 2.016
2.735 3.016 0.000
0.000 2.705 2.365
2.735 1.963 5.054
0.000 1.652 7.418
0.000 4.668 5.402
0.000 6.630 2.365
0.000 0.000 4.417
0.000 0.000 10.419
```